(1)
Below is an optimized crystal structure of LuSc2Pt, with properties calculated at the PBE level.

a = 4.8949 Å, b = 4.8949 Å, c = 4.9002 Å
α = 60.04°, β = 60.04°, γ = 60.00°
With the nearest neighbours (Å) after each atom.
Fractional coordinates of all 4 atoms:
Pt (0.5000, 0.5000, 0.5000)  8 Sc 3.00-3.01
Lu (0.0000, 0.0000, 0.0000)  8 Sc 3.00
Sc (0.2496, 0.2496, 0.2513)  4 Pt 3.00-3.01, 4 Lu 3.00
Sc (0.7504, 0.7504, 0.7487)  4 Pt 3.00-3.01, 4 Lu 3.00

Values from the calculation:
crystal system: cubic
magnetic moment: 0.01 μB/f.u.
calculated volume: 83.06 Å³/f.u.
polymorph energy (0 for the lowest one): 17.4 kJ per mole of atoms
ρ: 9.2 g/cm³

***

(2)
Below is an optimized crystal structure of LuScPt2, with properties calculated at the PBE level.

a = 3.3283 Å, b = 3.3283 Å, c = 6.8642 Å
α = 90.00°, β = 90.00°, γ = 90.00°
With the nearest neighbours (Å) after each atom.
Fractional coordinates of all 4 atoms:
Pt (0.0000, 0.0000, 0.7628)  4 Sc 2.86, 4 Lu 2.97
Pt (0.0000, 0.0000, 0.2372)  4 Sc 2.86, 4 Lu 2.97
Sc (0.5000, 0.5000, 0.0000)  8 Pt 2.86
Lu (0.5000, 0.5000, 0.5000)  8 Pt 2.97

Values from the calculation:
crystal system: tetragonal
magnetic moment: 0.00 μB/f.u.
electronic total energy: -6.9996 eV per atom
calculated volume: 76.04 Å³/f.u.
ρ: 13.3 g/cm³

***

(3)
Below is an optimized crystal structure of LuSc2Pt, with properties calculated at the PBE level.

a = 3.3742 Å, b = 3.3742 Å, c = 7.8988 Å
α = 90.00°, β = 90.00°, γ = 90.00°
With the nearest neighbours (Å) after each atom.
Fractional coordinates of all 4 atoms:
Lu (0.5000, 0.5000, 0.5000)  4 Lu 3.37, 8 Sc 3.38
Sc (0.0000, 0.0000, 0.1976)  4 Pt 2.85, 1 Sc 3.12
Sc (0.0000, 0.0000, 0.8024)  4 Pt 2.85, 1 Sc 3.12
Pt (0.5000, 0.5000, 0.0000)  8 Sc 2.85

Values from the calculation:
crystal system: tetragonal
magnetic moment: 0.01 μB/f.u.
calculated volume: 89.93 Å³/f.u.
polymorph energy (0 for the lowest one): 0.0 kJ per mole of atoms
ρ: 8.5 g/cm³

***

(4)
Below is an optimized crystal structure of LuScSnPt, with properties calculated at the PBE level.

a = 4.9538 Å, b = 4.9538 Å, c = 4.9538 Å
α = 60.00°, β = 60.00°, γ = 60.00°
With the nearest neighbours (Å) after each atom.
Fractional coordinates of all 4 atoms:
Pt (0.7500, 0.7500, 0.7500)  4 Sc 3.03, 4 Lu 3.03
Sn (0.2500, 0.2500, 0.2500)  4 Sc 3.03, 4 Lu 3.03
Lu (0.0000, 0.0000, 0.0000)  4 Sn 3.03, 4 Pt 3.03
Sc (0.5000, 0.5000, 0.5000)  4 Sn 3.03, 4 Pt 3.03

Values from the calculation:
crystal system: cubic
magnetic moment: 0.00 μB/f.u.
electronic total energy: -6.0655 eV per atom
calculated volume: 85.96 Å³/f.u.
ρ: 10.3 g/cm³